Record 1
11
Lattice="5.0628 0.0000 0.0000 0.0000 6.9012 0.5507 -2.5314 -2.3062 8.4836" Properties=species:S:1:pos:R:3 comment="GGA-PBE Sm8RuPt2, optimized geometry" magmom_total_mub_per_fu=0.000 rho_g_cm3=9.3 final_energy_ev_per_atom=-5.87 relative_energy_mev_per_atom=0.0 ef_mev_per_atom=-494 pbc="T T T"
Sm 2.5314 3.2774 5.4009
Sm 0.0000 1.3175 3.6334
Sm 0.0000 -1.3211 5.7391
Sm 0.0000 1.9718 7.3042
Sm 0.0000 5.2632 0.9936
Sm 2.5314 2.6231 1.7301
Sm 2.5314 5.9161 3.2952
Sm 2.5314 -0.6683 8.0407
Pt 0.0000 4.1549 3.7885
Pt 2.5314 0.4400 5.2458
Ru 2.5314 0.0000 0.0000

---

Record 2
5
Lattice="-1.4780 -3.2114 3.2960 0.0515 -3.4456 -3.3341 4.6015 -0.9923 1.0965" Properties=species:S:1:pos:R:3 comment="GGA-PBE TlCoMoAu2, optimized geometry" magmom_total_mub_per_fu=5.221 rho_g_cm3=11.2 final_energy_ev_per_atom=-4.23 ef_mev_per_atom=1140 pbc="T T T"
Mo 1.5875 -3.8247 0.5292
Au -0.7390 -1.6057 1.6480
Au 2.3008 -0.4962 0.5483
Co 0.0000 0.0000 0.0000
Tl 0.0257 -1.7228 -1.6671